A plane-wave DFT calculation with PBE+U was carried out for a relaxed Tl2CuMoF6 crystal.

**Fermi-level density of states**: 0.0955 states/eV per atom
**E**: -4.65 eV per atom
**Space-group type**: I4/mmm, No. 139

a = 6.0345 Å, b = 6.0302 Å, c = 9.2005 Å
α = 90.00°, β = 90.00°, γ = 90.00°
Each line ends with the local moment (μB).
Positions (direct):
Cu: 0.5000 0.2501 0.0000  -0.07
Cu: 0.0000 0.7499 0.5000  -0.07
Tl: 0.0000 0.2501 0.7503  0.00
Tl: 0.0000 0.2501 0.2497  0.00
Tl: 0.5000 0.7499 0.7497  0.00
Tl: 0.5000 0.7499 0.2503  0.00
F: 0.7477 0.0018 0.5000  0.02
F: 0.2477 0.9982 0.0000  0.02
F: 0.7521 0.5026 0.0000  0.02
F: 0.7479 0.4974 0.5000  0.02
F: 0.2521 0.4974 0.5000  0.02
F: 0.0000 0.7504 0.2288  0.02
F: 0.5000 0.2496 0.2712  0.02
F: 0.7523 0.9982 0.0000  0.02
F: 0.0000 0.7504 0.7712  0.02
F: 0.2523 0.0018 0.5000  0.02
F: 0.2479 0.5026 0.0000  0.02
F: 0.5000 0.2496 0.7288  0.02
Mo: 0.0000 0.7503 0.0000  2.78
Mo: 0.5000 0.2497 0.5000  2.78